Record 1
Material: Be2RuBr
Method: DFT, PBE-GGA
State: relaxed Values from VASP.

Geometry as Quantum ESPRESSO input:
```
&SYSTEM
  ibrav = 0, nat = 4, ntyp = 3
/
ATOMIC_SPECIES
Be 9.01 Be.upf
Ru 101.07 Ru.upf
Br 79.90 Br.upf
CELL_PARAMETERS angstrom
1.5494 0.8945 6.7528
-1.5494 0.8945 6.7528
0.0000 -1.7891 6.7528
ATOMIC_POSITIONS crystal
Be 0.2407 0.2407 0.2407
Be 0.7593 0.7593 0.7593
Ru 0.5000 0.5000 0.5000
Br 0.0000 0.0000 0.0000
```

Summary:
* VASP energy: -17.09 eV/cell
* symmetry: R-3m (166)

=====

Record 2
Material: KPRu3
Method: DFT, PBE-GGA
State: relaxed Values from VASP.

Geometry as Quantum ESPRESSO input:
```
&SYSTEM
  ibrav = 0, nat = 5, ntyp = 3
/
ATOMIC_SPECIES
K 39.10 K.upf
P 30.97 P.upf
Ru 101.07 Ru.upf
CELL_PARAMETERS angstrom
4.6438 0.0000 0.0000
0.0000 4.6438 0.0000
0.0000 0.0000 4.6438
ATOMIC_POSITIONS crystal
K 0.0000 0.0000 0.0000
P 0.5000 0.5000 0.5000
Ru 0.0000 0.0000 0.5000
Ru 0.0000 0.5000 0.0000
Ru 0.5000 0.0000 0.0000
```

Summary:
* E_form: 3099 meV per atom
* symmetry: Pm-3m (221)

=====

Record 3
Material: BeAg3Ir
Method: DFT, PBE-GGA
State: relaxed Values from VASP.

Geometry as Quantum ESPRESSO input:
```
&SYSTEM
  ibrav = 0, nat = 5, ntyp = 3
/
ATOMIC_SPECIES
Be 9.01 Be.upf
Ag 107.87 Ag.upf
Ir 192.22 Ir.upf
CELL_PARAMETERS angstrom
5.0527 0.0000 0.0000
0.0000 5.0527 0.0000
0.0000 0.0000 5.0527
ATOMIC_POSITIONS crystal
Be 0.0000 0.0000 0.0000
Ag 0.0000 0.5000 0.5000
Ag 0.5000 0.0000 0.5000
Ag 0.5000 0.5000 0.0000
Ir 0.5000 0.5000 0.5000
```

Summary:
* E_form: 1602 meV per atom
* symmetry: Pm-3m (221)